## MnNb2Tl3O8 (PBE+U)

Data for an optimized crystal structure of MnNb2Tl3O8.

Cell and atoms, written as POSCAR:
```
MnNb2Tl3O8
1.0
5.950 0.000 0.000
-2.975 5.153 0.000
0.000 0.000 7.759
Mn Nb Tl O
1 2 3 8
Cartesian
0.000 0.000 0.000 Mn
0.000 3.436 6.062 Nb
2.975 1.718 1.697 Nb
0.000 0.000 3.880 Tl
0.000 3.436 1.731 Tl
2.975 1.718 6.028 Tl
0.000 1.621 6.619 O
-1.571 4.343 6.619 O
1.404 0.810 1.140 O
0.000 3.436 4.225 O
2.975 1.718 3.534 O
1.571 4.343 6.619 O
4.547 0.810 1.140 O
2.975 3.532 1.140 O
```

Output
Its volume is 237.93 Å³/cell. The calculation puts the density of states at the Fermi level at 3.821 states/eV/cell. Its raw total energy is -6.92 eV per atom.